A relaxed structure of Ca6LaCd2. Source: Alexandria, functional GGA-PBE.

Output
Calculated formation energy (eV/f.u.): -1.140

a = 7.0501 Å, b = 7.0501 Å, c = 13.0423 Å
α = 109.08°, β = 109.08°, γ = 31.99°
Fractional positions:
Ca  0.0345  0.0345  0.3225
Ca  0.3144  0.3144  0.1226
Ca  0.3244  0.3244  0.4109
Ca  0.6756  0.6756  0.5891
Ca  0.6856  0.6856  0.8774
Ca  0.9655  0.9655  0.6775
La  0.0000  0.0000  0.0000
Cd  0.3392  0.3392  0.7937
Cd  0.6608  0.6608  0.2063